No. 1
First-principles (meta-GGA SCAN) data for CdHgOs at its PBEsol-relaxed geometry, as listed in Alexandria via LeMat-Bulk.

```
data_CdHgOs
_chemical_formula_sum 'Cd2 Hg2 Os2'
_cell_length_a 2.878
_cell_length_b 2.878
_cell_length_c 12.858
_cell_angle_alpha 90.00
_cell_angle_beta 90.00
_cell_angle_gamma 90.00
_symmetry_space_group_name_H-M 'I 4 m m'
_symmetry_Int_Tables_number 107
_symmetry_space_group_name_Hall 'I 4 -2'
loop_
_atom_site_label
_atom_site_fract_x
_atom_site_fract_y
_atom_site_fract_z
Cd1 0.000 0.000 0.000
Hg1 0.000 0.000 0.686
Os1 0.000 0.000 0.345
```

- ΔE_f: 0.747 eV/atom
- E above lowest polymorph: 46 meV/atom
- D(E_F): 3.55 states/eV/cell
- Magnetic moment: 0.4878 μB/atom



No. 2
First-principles (meta-GGA SCAN) data for CdHgOs at its PBEsol-relaxed geometry, as listed in Alexandria via LeMat-Bulk.

```
data_CdHgOs
_chemical_formula_sum 'Cd4 Hg4 Os4'
_cell_length_a 2.896
_cell_length_b 4.988
_cell_length_c 14.702
_cell_angle_alpha 90.00
_cell_angle_beta 90.00
_cell_angle_gamma 90.00
_symmetry_space_group_name_H-M 'F m m 2'
_symmetry_Int_Tables_number 42
_symmetry_space_group_name_Hall 'F 2 -2'
loop_
_atom_site_label
_atom_site_fract_x
_atom_site_fract_y
_atom_site_fract_z
Cd1 0.000 0.000 0.000
Hg1 0.000 0.000 0.677
Os1 0.000 0.000 0.341
```

- ΔE_f: 0.707 eV/atom
- E above lowest polymorph: 7 meV/atom
- D(E_F): 5.33 states/eV/cell
- Magnetic moment: 0.3248 μB/atom



No. 3
First-principles (meta-GGA SCAN) data for CdHgOs2 at its PBEsol-relaxed geometry, as listed in Alexandria via LeMat-Bulk.

```
data_CdHgOs2
_chemical_formula_sum 'Cd2 Hg2 Os4'
_cell_length_a 3.890
_cell_length_b 3.890
_cell_length_c 8.754
_cell_angle_alpha 90.00
_cell_angle_beta 90.00
_cell_angle_gamma 90.00
_symmetry_space_group_name_H-M 'I 4/m m m'
_symmetry_Int_Tables_number 139
_symmetry_space_group_name_Hall '-I 4 2'
loop_
_atom_site_label
_atom_site_fract_x
_atom_site_fract_y
_atom_site_fract_z
Cd1 0.000 0.000 0.000
Hg1 0.000 0.000 0.500
Os1 0.000 0.500 0.250
```

- ΔE_f: 1.069 eV/atom
- E above lowest polymorph: 140 meV/atom
- D(E_F): 9.26 states/eV/cell
- Magnetic moment: 0.0006 μB/atom



No. 4
First-principles (meta-GGA SCAN) data for CdHgOs at its PBEsol-relaxed geometry, as listed in Alexandria via LeMat-Bulk.

```
data_CdHgOs
_chemical_formula_sum 'Cd1 Hg1 Os1'
_cell_length_a 2.9040
_cell_length_b 2.9040
_cell_length_c 7.2074
_cell_angle_alpha 90.00
_cell_angle_beta 90.00
_cell_angle_gamma 120.00
_symmetry_space_group_name_H-M 'P 3 m 1'
_symmetry_Int_Tables_number 156
loop_
_symmetry_equiv_pos_as_xyz
'x,y,z'
'-y,x-y,z'
'-x+y,-x,z'
'-y,-x,z'
'-x+y,y,z'
'x,x-y,z'
loop_
_atom_site_label
_atom_site_fract_x
_atom_site_fract_y
_atom_site_fract_z
Cd1 0.0000 0.0000 0.0000
Hg1 0.3333 0.6667 0.6409
Os1 0.6667 0.3333 0.3154
```

- ΔE_f: 0.700 eV/atom
- E above lowest polymorph: 0 meV/atom
- D(E_F): 1.35 states/eV/cell
- Magnetic moment: 0.0024 μB/atom



> Which formula does entry 1 have?

CdHgOs



> Among the records above, which one has the highest E above lowest polymorph?

CdHgOs2